# U3Ir

An optimized crystal structure of U3Ir (GGA-PBE, the Alexandria database).

```
4
Lattice="-1.4495 5.3374 2.5033 1.4495 -5.3374 2.5033 1.4495 5.3374 -2.5033" Properties=species:S:1:pos:R:3 pbc="T T T"
U 0.0000 0.0000 0.0000
U 1.4495 2.9637 1.1728
U 0.0000 2.3737 3.6761
Ir 1.4495 0.0000 2.3713
```

The size of the total moment is 0.00 Bohr magnetons per cell. As for the space group: Imm2, No. 44.

# Cd3Ga5Ag2

An optimized crystal structure of Cd3Ga5Ag2 (GGA-PBE, the Alexandria database).

```
20
Lattice="-5.5361 6.3543 2.9344 5.5361 -6.3543 2.9344 5.5361 6.3543 -2.9344" Properties=species:S:1:pos:R:3 pbc="T T T"
Cd 1.3389 2.7628 0.0000
Cd 0.0000 0.0000 1.4672
Cd 6.8749 3.5914 0.0000
Cd -1.3389 2.7628 2.9344
Cd 0.0000 0.0000 4.4016
Cd 4.1972 3.5914 2.9344
Ga 4.3363 1.8450 0.0000
Ga 2.8338 0.0000 1.4672
Ga 5.5361 0.0000 1.4672
Ga 8.2383 0.0000 1.4672
Ga 4.3363 -1.8450 2.9344
Ga 1.1997 8.1993 0.0000
Ga -2.7023 6.3543 1.4672
Ga 0.0000 6.3543 1.4672
Ga 2.7023 6.3543 1.4672
Ga 1.1997 4.5092 2.9344
Ag 3.8844 -4.3842 2.9344
Ag 3.8844 4.3842 0.0000
Ag 1.6517 1.9701 2.9344
Ag 1.6517 10.7385 0.0000
```

The size of the total moment is 0.00 Bohr magnetons per cell. As for the space group: Ibam, No. 72.

# In2RhPb

An optimized crystal structure of In2RhPb (GGA-PBE, the Alexandria database).

```
8
Lattice="-4.4539 4.4539 2.6394 4.4539 -4.4539 2.6394 4.4539 4.4539 -2.6394" Properties=species:S:1:pos:R:3 pbc="T T T"
In 2.2270 1.4172 -0.6598
In 3.0367 -2.2270 3.2992
In 2.2270 3.0367 1.9795
In 1.4172 6.6809 0.6598
Rh 0.0000 0.0000 0.0000
Rh 0.0000 4.4539 1.3197
Pb 4.4539 0.0000 1.3197
Pb 0.0000 0.0000 2.6394
```

The size of the total moment is 0.00 Bohr magnetons per cell. As for the space group: I-42d, No. 122.

# PmSnHg2

An optimized crystal structure of PmSnHg2 (GGA-PBE, the Alexandria database).

```
4
Lattice="3.8496 0.0000 0.0000 0.0000 3.8496 0.0000 0.0000 0.0000 7.0755" Properties=species:S:1:pos:R:3 pbc="T T T"
Pm 0.0000 0.0000 0.0000
Sn 0.0000 0.0000 3.5378
Hg 1.9248 1.9248 1.8293
Hg 1.9248 1.9248 5.2462
```

The size of the total moment is 0.35 Bohr magnetons per cell. As for the space group: P4/mmm, No. 123.

no.,raw total energy (eV per atom)
1,-10.82
2,-2.31
3,-4.09
4,-2.65